Entry 1:
A plane-wave DFT calculation with PBE-GGA was carried out for a geometry-optimized PrSm3Se6 structure.

For the calculated density, the calculation gives 6.2 g/cm³. Its formation energy (no corrections) is -18.9 eV per formula unit. The total moment comes out at 0.00 μB/cell.

It has space group P2_1/m (No. 11), with a = 11.7962 Å, b = 4.2242 Å, c = 12.1228 Å, α = 90.00°, β = 108.83° and γ = 90.00°. The inequivalent atoms are Pr at (0.0457, 0.2500, 0.1928), Sm at (0.1594, 0.2500, 0.5844), Sm at (0.3188, 0.7500, 0.9983), Sm at (0.4349, 0.2500, 0.3322), Se at (0.0840, 0.7500, 0.4024), Se at (0.1147, 0.2500, 0.9645), Se at (0.1932, 0.7500, 0.7500), Se at (0.2566, 0.7500, 0.2244), Se at (0.3963, 0.2500, 0.5614) and Se at (0.4811, 0.2500, 0.1142).



Entry 2:
A plane-wave DFT calculation with PBE-GGA was carried out for a geometry-optimized Nd2DyAl4Pt3 structure.

The calculation puts the energy relative to the elements at -0.91 eV/atom. For the calculated density, the calculation gives 9.0 g/cm³. The total moment comes out at 0.00 μB/cell.

It has space group P-4m2 (No. 115), with a = 4.2743 Å, b = 4.2743 Å, c = 11.5316 Å, α = 90.00°, β = 90.00° and γ = 90.00°. The inequivalent atoms are Nd at (0.0000, 0.5000, 0.2280), Dy at (0.0000, 0.0000, 0.5000), Al at (0.0000, 0.0000, 0.0000), Al at (0.0000, 0.5000, 0.6680), Al at (0.5000, 0.5000, 0.0000), Pt at (0.0000, 0.5000, 0.8802) and Pt at (0.5000, 0.5000, 0.5000).



Entry 3:
A plane-wave DFT calculation with PBE-GGA was carried out for a geometry-optimized Ge4PdI2 structure.

For the calculated density, the calculation gives 5.1 g/cm³. Its formation energy (no corrections) is 1.7 eV per formula unit. The total moment comes out at 0.00 μB/cell.

It has space group I4/mmm (No. 139), with a = 4.6639 Å, b = 4.6639 Å, c = 19.3216 Å, α = 90.00°, β = 90.00° and γ = 90.00°. The inequivalent atoms are Ge at (0.0000, 0.0000, 0.1369), Ge at (0.0000, 0.5000, 0.0000), Pd at (0.0000, 0.0000, 0.0000) and I at (0.0000, 0.0000, 0.3373).



Entry 4:
A plane-wave DFT calculation with PBE-GGA was carried out for a geometry-optimized Sr2MgBe structure.

Its energy above the most stable polymorph in this dataset is 50.8 meV/atom. The calculation puts the energy relative to the elements at 0.30 eV/atom. For the calculated density, the calculation gives 2.8 g/cm³. The total moment comes out at 0.00 μB/cell.

It has space group Fm-3m (No. 225), with a = 7.9403 Å, b = 7.9403 Å, c = 7.9403 Å, α = 90.00°, β = 90.00° and γ = 90.00°. The inequivalent atoms are Sr at (0.2500, 0.2500, 0.2500), Mg at (0.0000, 0.0000, 0.0000) and Be at (0.0000, 0.0000, 0.5000).



Entry 5:
A plane-wave DFT calculation with PBE-GGA was carried out for a geometry-optimized TbEr4Cd structure.

Its energy above the most stable polymorph in this dataset is 0.0 meV/atom. The calculation puts the energy relative to the elements at -0.09 eV/atom. For the calculated density, the calculation gives 8.9 g/cm³. The total moment comes out at 0.00 μB/cell.

It has space group P4/mmm (No. 123), with a = 3.5316 Å, b = 3.5316 Å, c = 14.0652 Å, α = 90.00°, β = 90.00° and γ = 90.00°. The inequivalent atoms are Tb at (0.0000, 0.0000, 0.0000), Er at (0.0000, 0.0000, 0.3525), Er at (0.5000, 0.5000, 0.1769) and Cd at (0.5000, 0.5000, 0.5000).



Entry 6:
A plane-wave DFT calculation with PBE-GGA was carried out for a geometry-optimized ThGa2PdPt2 structure.

The calculation puts the energy relative to the elements at -0.95 eV/atom. For the calculated density, the calculation gives 12.9 g/cm³. The total moment comes out at 0.00 μB/cell.

It has space group P-3m1 (No. 164), with a = 4.3615 Å, b = 4.3615 Å, c = 6.7892 Å, α = 90.00°, β = 90.00° and γ = 120.00°. The inequivalent atoms are Th at (0.0000, 0.0000, 0.0000), Ga at (0.3333, 0.6667, 0.3370), Pd at (0.0000, 0.0000, 0.5000) and Pt at (0.3333, 0.6667, 0.7365).



Entry 7:
A plane-wave DFT calculation with PBE-GGA was carried out for a geometry-optimized Sr2TlO2F2 structure.

For the calculated density, the calculation gives 5.4 g/cm³. Its formation energy (no corrections) is -16.4 eV per formula unit. The total moment comes out at 0.00 μB/cell.

It has space group I4/mmm (No. 139), with a = 4.5590 Å, b = 4.5590 Å, c = 13.2440 Å, α = 90.00°, β = 90.00° and γ = 90.00°. The inequivalent atoms are Sr at (0.0000, 0.0000, 0.1222), Tl at (0.0000, 0.0000, 0.5000), O at (0.0000, 0.5000, 0.0000) and F at (0.0000, 0.0000, 0.2965).



Entry 8:
A plane-wave DFT calculation with PBE-GGA was carried out for a geometry-optimized OsAuBr4 structure.

For the calculated density, the calculation gives 7.4 g/cm³. Its formation energy (no corrections) is 10.4 eV per formula unit. The total moment comes out at 11.72 μB/cell.

It has space group F-43m (No. 216), with a = 8.5795 Å, b = 8.5795 Å, c = 8.5795 Å, α = 90.00°, β = 90.00° and γ = 90.00°. The inequivalent atoms are Os at (0.0000, 0.0000, 0.0000), Au at (0.2500, 0.2500, 0.7500) and Br at (0.1259, 0.1259, 0.3741).



Entry 9:
A plane-wave DFT calculation with PBE-GGA was carried out for a geometry-optimized TaRuAu2 structure.

Its energy above the most stable polymorph in this dataset is 630.3 meV/atom. The calculation puts the energy relative to the elements at 0.55 eV/atom. For the calculated density, the calculation gives 15.3 g/cm³. The total moment comes out at 0.45 μB/cell.

It has space group I-42d (No. 122), with a = 7.4578 Å, b = 7.4578 Å, c = 5.2792 Å, α = 90.00°, β = 90.00° and γ = 90.00°. The inequivalent atoms are Ta at (0.0000, 0.0000, 0.0000), Ru at (0.0000, 0.0000, 0.5000) and Au at (0.2498, 0.2500, 0.1250).



Entry 10:
A plane-wave DFT calculation with PBE-GGA was carried out for a geometry-optimized Sm4Ge2I3 structure.

Its energy above the most stable polymorph in this dataset is 302.0 meV/atom. For the calculated density, the calculation gives 6.0 g/cm³. Its formation energy (no corrections) is -7.5 eV per formula unit. The total moment comes out at 0.01 μB/cell.

It has space group C2/c (No. 15), with a = 15.3406 Å, b = 13.8062 Å, c = 5.9290 Å, α = 90.00°, β = 94.18° and γ = 90.00°. The inequivalent atoms are Sm at (0.1270, 0.2082, 0.0060), Sm at (0.2027, 0.4020, 0.4489), Ge at (0.2101, 0.3920, 0.9415), I at (0.0000, 0.3690, 0.2500) and I at (0.0884, 0.1243, 0.5114).



Entry 11:
A plane-wave DFT calculation with PBE-GGA was carried out for a geometry-optimized YSc2Ga2 structure.

Its energy above the most stable polymorph in this dataset is 19.0 meV/atom. The calculation puts the energy relative to the elements at -0.48 eV/atom. For the calculated density, the calculation gives 4.7 g/cm³. The total moment comes out at 0.00 μB/cell.

It has space group I4/mmm (No. 139), with a = 4.2884 Å, b = 4.2884 Å, c = 12.3022 Å, α = 90.00°, β = 90.00° and γ = 90.00°. The inequivalent atoms are Y at (0.0000, 0.0000, 0.0000), Sc at (0.0000, 0.5000, 0.2500) and Ga at (0.0000, 0.0000, 0.4003).



Entry 12:
A plane-wave DFT calculation with PBE-GGA was carried out for a geometry-optimized Sr2LaSb structure.

For the calculated density, the calculation gives 4.9 g/cm³. Its formation energy (no corrections) is -1.5 eV per formula unit. The total moment comes out at 0.00 μB/cell.

It has space group I4/mmm (No. 139), with a = 4.9445 Å, b = 4.9445 Å, c = 12.0827 Å, α = 90.00°, β = 90.00° and γ = 90.00°. The inequivalent atoms are Sr at (0.0000, 0.5000, 0.2500), La at (0.0000, 0.0000, 0.0000) and Sb at (0.0000, 0.0000, 0.5000).